Entry 1:
LiAc2OsN4 | PBE | optimized geometry

Raw total energy = -115.25 eV for the cell shown

Structure (POSCAR):
```
LiAc2OsN4
1.0
0.000 5.770 9.227
2.321 0.000 9.227
2.321 5.770 0.000
Li Ac Os N
2 4 2 8
Direct
0.125 0.125 0.125 Li
0.875 0.875 0.875 Li
0.048 0.048 0.702 Ac
0.298 0.298 0.952 Ac
0.702 0.702 0.048 Ac
0.952 0.952 0.298 Ac
0.375 0.375 0.375 Os
0.625 0.625 0.625 Os
0.031 0.307 0.446 N
0.284 0.554 0.693 N
0.307 0.031 0.716 N
0.446 0.716 0.031 N
0.554 0.284 0.969 N
0.693 0.969 0.284 N
0.716 0.446 0.307 N
0.969 0.693 0.554 N
```


Entry 2:
Pd3RhBr | PBE | optimized geometry

Energy above the most stable polymorph in this dataset = 79 meV per atom
Raw total energy = -19.50 eV for the cell shown

Structure (POSCAR):
```
Pd3RhBr
1.0
4.872 0.000 0.000
0.000 4.872 0.000
0.000 0.000 4.872
Pd Rh Br
3 1 1
Direct
0.000 0.000 0.500 Pd
0.000 0.500 0.000 Pd
0.500 0.000 0.000 Pd
0.000 0.000 0.000 Rh
0.500 0.500 0.500 Br
```


Entry 3:
CsRe2Ir | PBE | optimized geometry

Energy above the most stable polymorph in this dataset = 0 meV per atom
Raw total energy = -52.87 eV for the cell shown
Energy of formation = 2044 meV per atom

Structure (POSCAR):
```
CsRe2Ir
1.0
-3.806 3.806 3.206
3.806 -3.806 3.206
3.806 3.806 -3.206
Cs Re Ir
2 4 2
Direct
0.000 0.000 0.000 Cs
0.750 0.250 0.500 Cs
0.201 0.625 0.076 Re
0.375 0.451 0.576 Re
0.549 0.125 0.924 Re
0.875 0.799 0.424 Re
0.250 0.750 0.500 Ir
0.500 0.500 0.000 Ir
```


Entry 4:
Pm3Y3CuS8 | PBE | optimized geometry

Raw total energy = -98.06 eV for the cell shown

Structure (POSCAR):
```
Pm3Y3CuS8
1.0
3.934 2.272 6.454
-3.934 2.272 6.454
0.000 -4.543 6.454
Pm Y Cu S
3 3 1 8
Direct
0.000 0.500 0.500 Pm
0.500 0.000 0.500 Pm
0.500 0.500 0.000 Pm
0.000 0.000 0.500 Y
0.000 0.500 0.000 Y
0.500 0.000 0.000 Y
0.500 0.500 0.500 Cu
0.247 0.247 0.247 S
0.251 0.743 0.743 S
0.257 0.257 0.749 S
0.257 0.749 0.257 S
0.743 0.251 0.743 S
0.743 0.743 0.251 S
0.749 0.257 0.257 S
0.753 0.753 0.753 S
```


Entry 5:
La2AgO2 | PBE | optimized geometry

Raw total energy = -34.64 eV for the cell shown

Structure (POSCAR):
```
La2AgO2
1.0
-2.073 2.073 6.469
2.073 -2.073 6.469
2.073 2.073 -6.469
La Ag O
2 1 2
Direct
0.158 0.158 0.000 La
0.842 0.842 0.000 La
0.500 0.500 0.000 Ag
0.250 0.750 0.500 O
0.750 0.250 0.500 O
```


Entry 6:
Pr2YTe | PBE | optimized geometry

Energy above the most stable polymorph in this dataset = 26 meV per atom
Raw total energy = -21.36 eV for the cell shown

Structure (POSCAR):
```
Pr2YTe
1.0
2.019 1.166 9.996
-2.019 1.166 9.996
0.000 -2.332 9.996
Pr Y Te
2 1 1
Direct
0.000 0.000 0.000 Pr
0.189 0.189 0.189 Pr
0.762 0.762 0.762 Y
0.594 0.594 0.594 Te
```


Entry 7:
La2TiCu3Ni12 | PBE | optimized geometry

Raw total energy = -99.45 eV for the cell shown
Energy of formation = -2 meV per atom

Structure (POSCAR):
```
La2TiCu3Ni12
1.0
4.193 2.421 4.105
-4.193 2.421 4.105
0.000 -4.842 4.105
La Ti Cu Ni
2 1 3 12
Direct
0.203 0.203 0.203 La
0.797 0.797 0.797 La
0.500 0.500 0.500 Ti
0.000 0.500 0.500 Cu
0.500 0.000 0.500 Cu
0.500 0.500 0.000 Cu
0.090 0.090 0.640 Ni
0.090 0.640 0.090 Ni
0.228 0.697 0.697 Ni
0.303 0.303 0.772 Ni
0.303 0.772 0.303 Ni
0.360 0.910 0.910 Ni
0.640 0.090 0.090 Ni
0.697 0.228 0.697 Ni
0.697 0.697 0.228 Ni
0.772 0.303 0.303 Ni
0.910 0.360 0.910 Ni
0.910 0.910 0.360 Ni
```


Entry 8:
AcLa4Te5 | PBE | optimized geometry

Raw total energy = -55.21 eV for the cell shown

Structure (POSCAR):
```
AcLa4Te5
1.0
-2.307 2.307 16.324
2.307 -2.307 16.324
2.307 2.307 -16.324
Ac La Te
1 4 5
Direct
0.000 0.000 0.000 Ac
0.201 0.201 0.000 La
0.400 0.400 0.000 La
0.600 0.600 0.000 La
0.799 0.799 0.000 La
0.102 0.102 0.000 Te
0.300 0.300 0.000 Te
0.500 0.500 0.000 Te
0.700 0.700 0.000 Te
0.898 0.898 0.000 Te
```


Entry 9:
RbCdHg2Rh | PBE | optimized geometry

Raw total energy = -10.58 eV for the cell shown
Energy of formation = -148 meV per atom

Structure (POSCAR):
```
RbCdHg2Rh
1.0
5.369 0.000 0.000
0.000 5.369 0.000
0.000 0.000 5.279
Rb Cd Hg Rh
1 1 2 1
Direct
0.000 0.000 0.000 Rb
0.500 0.500 0.000 Cd
0.000 0.500 0.500 Hg
0.500 0.000 0.500 Hg
0.500 0.500 0.500 Rh
```


Entry 10:
CsHoTlTe3 | PBE | optimized geometry

Raw total energy = -45.54 eV for the cell shown

Structure (POSCAR):
```
CsHoTlTe3
1.0
10.073 0.000 0.000
0.000 4.594 0.000
-3.636 0.000 11.050
Cs Ho Tl Te
2 2 2 6
Direct
0.210 0.250 0.246 Cs
0.790 0.750 0.754 Cs
0.340 0.750 0.879 Ho
0.660 0.250 0.121 Ho
0.063 0.250 0.624 Tl
0.937 0.750 0.376 Tl
0.137 0.250 0.896 Te
0.246 0.750 0.589 Te
0.464 0.750 0.152 Te
0.536 0.250 0.848 Te
0.754 0.250 0.411 Te
0.863 0.750 0.104 Te
```


Entry 11:
BaNa2PbF | PBE | optimized geometry

Raw total energy = -16.34 eV for the cell shown

Structure (POSCAR):
```
BaNa2PbF
1.0
5.185 0.000 0.000
0.000 5.185 0.000
0.000 0.000 5.325
Ba Na Pb F
1 2 1 1
Direct
0.000 0.000 0.000 Ba
0.000 0.500 0.500 Na
0.500 0.000 0.500 Na
0.500 0.500 0.000 Pb
0.000 0.000 0.500 F
```


Entry 12:
SrTlFe4 | PBE | optimized geometry

Raw total energy = -35.60 eV for the cell shown
Energy of formation = 382 meV per atom

Structure (POSCAR):
```
SrTlFe4
1.0
0.000 3.696 3.696
3.696 0.000 3.696
3.696 3.696 0.000
Sr Tl Fe
1 1 4
Direct
0.000 0.000 0.000 Sr
0.750 0.750 0.750 Tl
0.376 0.376 0.376 Fe
0.376 0.376 0.873 Fe
0.376 0.873 0.376 Fe
0.873 0.376 0.376 Fe
```